*P*
First-principles (PBE) data for a geometry-optimized LaDyCo structure, as listed in Alexandria.

```
LaDyCo
1.0
4.625 -0.011 0.006
0.013 5.478 0.191
-0.011 -1.631 6.197
La Dy Co
2 2 2
Cartesian
3.483 2.653 1.980
1.164 1.219 4.436
3.483 4.071 5.136
1.164 -0.198 1.280
3.476 0.147 2.714
1.172 3.726 3.702
```

Values from the calculation:
symmetry: P2_1/m, No. 11

***

*Q*
First-principles (PBE) data for a geometry-optimized LaDyCo structure, as listed in Alexandria.

```
LaDyCo
1.0
-3.098 -0.669 -2.387
3.690 -0.619 -1.319
-0.276 -5.989 2.038
La Co Dy
1 1 1
Cartesian
-0.029 -0.625 0.213
-0.927 -2.654 -1.349
1.273 -3.998 -0.530
```

Values from the calculation:
symmetry: P3m1, No. 156

***

*R*
First-principles (PBE) data for a geometry-optimized LaDyCo structure, as listed in Alexandria.

```
LaDyCo
1.0
4.794 0.000 0.000
2.397 4.152 0.000
2.397 1.384 3.914
La Co Dy
1 1 1
Cartesian
4.794 2.768 1.957
2.397 1.384 0.979
0.000 0.000 0.000
```

Values from the calculation:
symmetry: F-43m, No. 216

***

Stability comparison, relative energies in meV/atom: *P* 0; *Q* 20; *R* 81

***

*P*
First-principles (PBE) data for a geometry-optimized LaDy3Co structure, as listed in Alexandria.

```
LaDy3Co
1.0
0.884 5.580 -4.596
3.531 -5.890 -2.424
-6.956 -1.657 0.604
La Dy Co
2 6 2
Cartesian
-4.493 2.477 -2.935
1.951 -4.444 -3.481
-1.155 3.922 -3.798
-0.232 -1.785 -2.074
-2.309 -0.182 -4.343
1.125 0.977 -4.241
-1.387 -5.889 -2.618
-3.667 -2.945 -2.176
0.442 -1.485 -4.562
-2.983 -0.482 -1.855
```

Values from the calculation:
symmetry: C2/m, No. 12

***

*Q*
First-principles (PBE) data for a geometry-optimized LaDy3Co structure, as listed in Alexandria.

```
LaDy3Co
1.0
-0.964 4.256 3.051
2.972 -2.110 3.882
4.311 2.406 -1.994
La Co Dy
1 1 3
Cartesian
3.160 2.276 2.470
0.000 0.000 0.000
1.486 -1.055 1.941
2.156 1.203 -0.997
-0.482 2.128 1.526
```

Values from the calculation:
symmetry: Pm-3m, No. 221

***

Stability comparison, relative energies in meV/atom: *P* 0; *Q* 75

***

*P*
First-principles (PBE) data for a geometry-optimized LaDy2Co2 structure, as listed in Alexandria.

```
LaDy2Co2
1.0
7.248 0.000 0.000
0.000 7.248 0.000
0.000 0.000 8.556
La Dy Co
4 8 8
Cartesian
3.624 3.624 2.139
0.000 0.000 6.417
3.624 3.624 6.418
0.000 0.000 2.139
4.834 6.038 4.278
2.414 1.210 4.278
6.039 2.414 0.000
1.210 4.835 0.000
6.038 2.414 4.278
1.210 4.834 4.278
2.414 1.210 0.000
4.835 6.039 0.000
2.827 6.451 2.139
4.421 0.797 2.139
0.797 2.827 6.417
6.451 4.421 6.417
6.451 4.421 2.139
0.797 2.827 2.139
2.827 6.451 6.417
4.421 0.797 6.417
```

Values from the calculation:
symmetry: P4/mbm, No. 127

***

*Q*
First-principles (PBE) data for a geometry-optimized LaDy2Co2 structure, as listed in Alexandria.

```
LaDy2Co2
1.0
-1.833 -0.159 3.469
-4.803 -1.142 -2.590
3.476 -4.859 -0.609
La Dy Co
1 2 2
Cartesian
0.000 0.000 0.000
-0.089 -3.769 -0.220
-3.071 -2.392 0.490
-0.513 -2.171 1.852
-2.647 -3.989 -1.581
```

Values from the calculation:
symmetry: C2/m, No. 12

***

Stability comparison, relative energies in meV/atom: *P* 0; *Q* 23

***

*P*
First-principles (PBE) data for a geometry-optimized LaDyCo4 structure, as listed in Alexandria.

```
LaDyCo4
1.0
-1.413 -1.827 4.581
-3.561 -3.681 0.306
1.338 -4.754 1.389
La Co Dy
1 4 1
Cartesian
-0.909 -2.566 1.569
-2.946 -4.032 3.228
-0.486 -4.571 3.772
-2.274 -6.420 3.926
-1.565 -5.502 1.625
0.000 0.000 0.000
```

Values from the calculation:
symmetry: F-43m, No. 216

***

*Q*
First-principles (PBE) data for a geometry-optimized LaDyCo4 structure, as listed in Alexandria.

```
LaDyCo4
1.0
-3.022 2.654 -1.075
-1.682 -0.511 3.467
3.617 5.134 2.512
La Dy Co
1 1 4
Cartesian
-2.893 4.698 3.636
-0.244 7.521 3.158
-2.601 1.642 3.327
-0.164 5.101 5.019
0.074 4.500 2.867
-1.156 2.754 2.013
```

Values from the calculation:
symmetry: Pmmm, No. 47

***

Stability comparison, relative energies in meV/atom: *P* 57; *Q* 0

***

*P*
First-principles (PBE) data for a geometry-optimized DyLu2Co structure, as listed in Alexandria.

```
DyLu2Co
1.0
5.091 0.000 0.000
2.546 4.409 0.000
2.546 1.470 4.135
Lu Co Dy
2 1 1
Cartesian
2.546 1.470 1.044
7.637 4.409 3.092
0.000 0.000 0.000
5.091 2.939 2.068
```

Values from the calculation:
symmetry: R-3m, No. 166

***

*Q*
First-principles (PBE) data for a geometry-optimized DyLu2Co structure, as listed in Alexandria.

```
DyLu2Co
1.0
3.323 0.000 0.000
0.000 3.323 0.000
0.000 0.000 8.701
Lu Co Dy
2 1 1
Cartesian
0.000 0.000 7.122
0.000 0.000 1.579
1.661 1.661 0.000
1.661 1.661 4.350
```

Values from the calculation:
symmetry: P4/mmm, No. 123

***

Stability comparison, relative energies in meV/atom: *P* 387; *Q* 0

***

*P*
First-principles (PBE) data for a geometry-optimized Dy4MgCo structure, as listed in Alexandria.

```
Dy4MgCo
1.0
5.943 -0.924 0.000
-2.035 8.977 0.000
-1.954 -4.026 6.284
Dy Mg Co
8 2 2
Cartesian
-0.879 5.373 4.243
3.502 5.699 1.101
0.139 0.884 2.041
-1.424 2.135 5.183
2.833 -1.347 2.041
1.816 3.142 4.243
-1.548 -1.673 5.183
3.378 1.891 1.101
0.468 4.257 1.518
1.486 -0.231 4.765
4.458 -0.693 0.013
-2.503 4.719 6.271
```

Values from the calculation:
symmetry: C2/c, No. 15

***

*Q*
First-principles (PBE) data for a geometry-optimized Dy4MgCo structure, as listed in Alexandria.

```
Dy4MgCo
1.0
9.563 0.000 0.000
4.781 8.282 0.000
4.781 2.761 7.808
Dy Mg Co
16 4 4
Cartesian
9.563 2.060 1.457
9.563 8.982 6.351
6.566 7.252 1.457
12.560 3.791 6.351
6.566 3.791 6.351
12.560 7.252 1.457
14.344 6.213 4.393
14.344 10.350 7.319
12.553 9.316 4.393
16.136 7.247 7.319
12.553 7.247 7.319
16.136 9.316 4.393
6.588 3.804 2.690
9.563 5.521 7.547
9.563 8.956 2.690
12.537 3.804 2.690
11.079 6.397 4.523
9.563 5.521 2.047
9.563 3.770 4.523
8.046 6.397 4.523
2.693 1.555 1.100
4.781 2.761 4.509
4.781 5.171 1.100
6.869 1.555 1.100
```

Values from the calculation:
symmetry: F-43m, No. 216

***

Stability comparison, relative energies in meV/atom: *P* 75; *Q* 0